(1)
A plane-wave DFT calculation with PBE-GGA was carried out for a relaxed structure of YErCd2Ga2.

Properties
spin magnetization: 0.013 μB per cell
raw total energy: -3.642 eV/atom

Cell lengths 4.6148, 4.6148, 7.2676 Å; angles 90.00, 90.00, 120.00 degrees
Space group P3m1 (No. 156)
Inequivalent atoms, fractional coordinates:
Y1 0.0000 0.0000 0.0000 [1 per cell]
Er1 0.0000 0.0000 0.4999 [1 per cell]
Cd1 0.3333 0.6667 0.2829 [1 per cell]
Cd2 0.6667 0.3333 0.7771 [1 per cell]
Ga1 0.3333 0.6667 0.6994 [1 per cell]
Ga2 0.6667 0.3333 0.2038 [1 per cell]

=====

(2)
A plane-wave DFT calculation with PBE-GGA was carried out for a relaxed structure of LiTbCdSe3.

Properties
spin magnetization: 0.004 μB per cell
E above lowest polymorph: 0.000 eV per atom
raw total energy: -4.238 eV/atom

Cell lengths 7.800, 4.141, 10.651 Å; angles 90.00, 104.39, 90.00 degrees
Space group P2_1/m (No. 11)
Inequivalent atoms, fractional coordinates:
Li1 0.179 0.250 0.117 [2 per cell]
Tb1 0.327 0.750 0.854 [2 per cell]
Cd1 0.065 0.250 0.611 [2 per cell]
Se1 0.062 0.250 0.859 [2 per cell]
Se2 0.260 0.750 0.566 [2 per cell]
Se3 0.417 0.750 0.134 [2 per cell]

=====

(3)
A plane-wave DFT calculation with PBE-GGA was carried out for a relaxed structure of RePbNO.

Properties
spin magnetization: 0.255 μB per cell
E above lowest polymorph: 0.724 eV per atom
raw total energy: -6.885 eV/atom

Cell lengths 4.362, 4.362, 6.230 Å; angles 90.00, 90.00, 90.00 degrees
Space group P4/nmm (No. 129, origin choice 2)
Inequivalent atoms, fractional coordinates:
Re1 0.250 0.250 0.022 [2 per cell]
Pb1 0.250 0.750 0.500 [2 per cell]
N1 0.250 0.250 0.740 [2 per cell]
O1 0.250 0.750 0.000 [2 per cell]

=====

Look up the raw total energy of the first one.
-3.642 eV/atom